*a*
Entry from Alexandria via LeMat-Bulk: a geometry-optimized Pa2MoRh structure (PBE).

Cell: 4.8904 4.8904 4.8904 Å, 60.00 60.00 60.00°
Last column: nearest neighbours and their distance in Å.
Element x y z (fractional)
1 Mo 0.5000 0.5000 0.5000  8 Pa 2.99
2 Pa 0.2500 0.2500 0.2500  4 Mo 2.99, 4 Rh 2.99
3 Pa 0.7500 0.7500 0.7500  4 Mo 2.99, 4 Rh 2.99
4 Rh 0.0000 0.0000 0.0000  8 Pa 2.99


*b*
Entry from Alexandria via LeMat-Bulk: a geometry-optimized Pa2MoRh structure (PBE).

Cell: 3.5123 3.5123 6.7016 Å, 90.00 90.00 90.00°
Last column: nearest neighbours and their distance in Å.
Element x y z (fractional)
1 Mo 0.5000 0.5000 0.0000  8 Pa 3.01, 2 Rh 3.35
2 Pa 0.0000 0.0000 0.7451  4 Rh 2.98, 4 Mo 3.01, 1 Pa 3.29
3 Pa 0.0000 0.0000 0.2549  4 Rh 2.98, 4 Mo 3.01, 1 Pa 3.29
4 Rh 0.5000 0.5000 0.5000  8 Pa 2.98


*c*
Entry from Alexandria via LeMat-Bulk: a geometry-optimized Pa2MoRh structure (PBE).

Cell: 3.1451 3.1451 9.8839 Å, 80.85 80.85 60.00°
Last column: nearest neighbours and their distance in Å.
Element x y z (fractional)
1 Mo 0.5000 0.5000 0.5000  6 Pa 2.94, 6 Mo 3.15
2 Pa 0.0875 0.0875 0.7375  1 Rh 2.55
3 Pa 0.9125 0.9125 0.2625  1 Rh 2.55
4 Rh 0.0000 0.0000 0.0000  2 Pa 2.55


The most stable of them is *b*.


*a*
Entry from Alexandria via LeMat-Bulk: a geometry-optimized PaMoRh structure (PBE).

Cell: 2.9784 4.5747 4.5747 Å, 120.00 90.00 90.00°
Last column: nearest neighbours and their distance in Å.
Element x y z (fractional)
1 Mo 0.4241 0.6667 0.3333  3 Pa 2.72, 2 Mo 2.98, 6 Rh 3.02-3.05
2 Pa 0.6426 0.3333 0.6667  3 Mo 2.72, 3 Rh 2.78, 2 Pa 2.98
3 Rh 0.9332 0.0000 0.0000  3 Pa 2.78, 2 Rh 2.98, 6 Mo 3.02-3.05


*b*
Entry from Alexandria via LeMat-Bulk: a geometry-optimized PaMoRh structure (PBE).

Cell: 6.9579 6.9579 6.9579 Å, 60.00 60.00 60.00°
Last column: nearest neighbours and their distance in Å.
Element x y z (fractional)
1 Mo 0.3055 0.8982 0.8982  3 Rh 2.63, 3 Pa 2.73, 3 Mo 2.83
2 Mo 0.8982 0.8982 0.8982  3 Rh 2.63, 3 Pa 2.73, 3 Mo 2.83
3 Mo 0.8982 0.3055 0.8982  3 Rh 2.63, 3 Pa 2.73, 3 Mo 2.83
4 Mo 0.8982 0.8982 0.3055  3 Rh 2.63, 3 Pa 2.73, 3 Mo 2.83
5 Pa 0.6217 0.1348 0.6217  3 Mo 2.73
6 Pa 0.1348 0.6217 0.6217  3 Mo 2.73
7 Pa 0.6217 0.6217 0.1348  3 Mo 2.73
8 Pa 0.6217 0.6217 0.6217  3 Mo 2.73
9 Rh 0.5368 0.1544 0.1544  3 Mo 2.63, 3 Rh 2.66
10 Rh 0.1544 0.5368 0.1544  3 Mo 2.63, 3 Rh 2.66
11 Rh 0.1544 0.1544 0.1544  3 Mo 2.63, 3 Rh 2.66
12 Rh 0.1544 0.1544 0.5368  3 Mo 2.63, 3 Rh 2.66


The most stable of them is *a*.


*a*
Entry from Alexandria via LeMat-Bulk: a geometry-optimized PaMoRu2 structure (PBE).

Cell: 3.0392 3.0392 7.4352 Å, 90.00 90.00 90.00°
Last column: nearest neighbours and their distance in Å.
Element x y z (fractional)
1 Ru 0.0000 0.0000 0.7868  4 Mo 2.67
2 Ru 0.0000 0.0000 0.2132  4 Mo 2.67
3 Mo 0.5000 0.5000 0.0000  8 Ru 2.67
4 Pa 0.5000 0.5000 0.5000  8 Ru 3.03, 4 Pa 3.04


*b*
Entry from Alexandria via LeMat-Bulk: a geometry-optimized PaMoRu2 structure (PBE).

Cell: 2.9142 2.9142 9.4084 Å, 81.09 81.09 60.00°
Last column: nearest neighbours and their distance in Å.
Element x y z (fractional)
1 Ru 0.7412 0.7412 0.7762  3 Mo 2.67, 6 Ru 2.91
2 Ru 0.2588 0.2588 0.2238  3 Mo 2.67, 6 Ru 2.91
3 Mo 0.0000 0.0000 0.0000  6 Ru 2.67, 6 Mo 2.91
4 Pa 0.5000 0.5000 0.5000  6 Pa 2.91, 6 Ru 3.06


The most stable of them is *a*.


*a*
Entry from Alexandria via LeMat-Bulk: a geometry-optimized PaSbMo2 structure (PBE).

Cell: 3.5884 4.6493 4.6493 Å, 90.00 90.00 90.00°
Last column: nearest neighbours and their distance in Å.
Element x y z (fractional)
1 Sb 0.5000 0.5000 0.5000  8 Mo 2.94, 4 Pa 3.29
2 Mo 0.0000 0.0000 0.5000  4 Sb 2.94, 4 Pa 2.94, 4 Mo 3.29
3 Mo 0.0000 0.5000 0.0000  4 Sb 2.94, 4 Pa 2.94, 4 Mo 3.29
4 Pa 0.5000 0.0000 0.0000  8 Mo 2.94, 4 Sb 3.29


*b*
Entry from Alexandria via LeMat-Bulk: a geometry-optimized PaSbMo2 structure (PBE).

Cell: 4.7898 4.7898 4.7898 Å, 60.00 60.00 60.00°
Last column: nearest neighbours and their distance in Å.
Element x y z (fractional)
1 Sb 0.5000 0.5000 0.5000  8 Mo 2.93
2 Mo 0.2500 0.2500 0.2500  4 Pa 2.93, 4 Sb 2.93
3 Mo 0.7500 0.7500 0.7500  4 Pa 2.93, 4 Sb 2.93
4 Pa 0.0000 0.0000 0.0000  8 Mo 2.93


The most stable of them is *a*.


*a*
Entry from Alexandria via LeMat-Bulk: a geometry-optimized ScPaMo structure (PBE).

Cell: 3.4389 3.4389 5.8348 Å, 107.14 107.14 90.00°
Last column: nearest neighbours and their distance in Å.
Element x y z (fractional)
1 Sc 0.3272 0.3272 0.6544  4 Mo 3.06, 5 Pa 3.18-3.25
2 Mo 0.6519 0.6519 0.3038  4 Pa 2.80, 4 Sc 3.06
3 Pa 0.0209 0.0209 0.0418  4 Mo 2.80


*b*
Entry from Alexandria via LeMat-Bulk: a geometry-optimized ScPaMo structure (PBE).

Cell: 5.6976 5.6976 9.0678 Å, 90.00 90.00 117.24°
Last column: nearest neighbours and their distance in Å.
Element x y z (fractional)
1 Sc 0.3385 0.6615 0.2846  3 Mo 3.03-3.07, 1 Sc 3.34, 3 Pa 3.37-3.38
2 Sc 0.6649 0.3351 0.1695  2 Sc 3.07-3.34, 7 Mo 3.22-3.40, 5 Pa 3.27-3.43
3 Sc 0.6649 0.3351 0.8305  2 Sc 3.07-3.34, 7 Mo 3.22-3.40, 5 Pa 3.27-3.43
4 Sc 0.3385 0.6615 0.7154  3 Mo 3.03-3.07, 1 Sc 3.34, 3 Pa 3.37-3.38
5 Pa 0.9966 0.0034 0.2278  4 Mo 2.65-2.95
6 Pa 0.9966 0.0034 0.7722  4 Mo 2.65-2.95
7 Pa 0.3490 0.1664 0.5000  2 Mo 2.74-2.96, 4 Pa 2.88-3.06
8 Pa 0.8336 0.6510 0.5000  2 Mo 2.74-2.96, 4 Pa 2.88-3.06
9 Mo 0.8309 0.1691 0.5000  6 Pa 2.74-2.96
10 Mo 0.6515 0.8328 0.0000  2 Pa 2.71, 3 Mo 2.75-2.94
11 Mo 0.1672 0.3485 0.0000  2 Pa 2.71, 3 Mo 2.75-2.94
12 Mo 0.1677 0.8323 0.0000  2 Pa 2.65, 4 Mo 2.75-2.94


The most stable of them is *a*.


*a*
Entry from Alexandria via LeMat-Bulk: a geometry-optimized Pa2SiMo structure (PBE).

Cell: 4.5853 4.5853 5.4159 Å, 64.96 64.96 60.00°
Last column: nearest neighbours and their distance in Å.
Element x y z (fractional)
1 Mo 0.5000 0.5000 0.5000  6 Pa 2.88
2 Pa 0.7536 0.7536 0.7393  3 Mo 2.88, 3 Si 2.92
3 Pa 0.2464 0.2464 0.2607  3 Mo 2.88, 3 Si 2.92
4 Si 0.0000 0.0000 0.0000  6 Pa 2.92


*b*
Entry from Alexandria via LeMat-Bulk: a geometry-optimized Pa2SiMo structure (PBE).

Cell: 4.2331 4.3282 4.3282 Å, 90.00 90.00 90.00°
Last column: nearest neighbours and their distance in Å.
Element x y z (fractional)
1 Mo 0.5000 0.5000 0.5000  8 Pa 3.03, 4 Si 3.06
2 Pa 0.0000 0.0000 0.5000  4 Mo 3.03, 4 Si 3.03, 4 Pa 3.06
3 Pa 0.0000 0.5000 0.0000  4 Si 3.03, 4 Mo 3.03, 4 Pa 3.06
4 Si 0.5000 0.0000 0.0000  8 Pa 3.03, 4 Mo 3.06


The most stable of them is *b*.